(1)
A plane-wave DFT calculation with GGA-PBE was carried out for a relaxed CeSmRe4 crystal.

Output
- SG = F-43m
- energy (eV per atom) = -10.083
- E_form (eV/atom) = -0.009

Unit cell a=5.4791 b=5.4791 c=5.4791 alpha=60.00 beta=60.00 gamma=60.00
Last column: nearest neighbours and their distance in Å.
Atoms (fractional coordinates):
Ce1 0.0000 0.0000 0.0000  12 Re 3.21, 4 Sm 3.36
Sm1 0.2500 0.2500 0.2500  12 Re 3.21, 4 Ce 3.36
Re1 0.1251 0.6250 0.6250  6 Re 2.74
Re2 0.6250 0.1251 0.6250  6 Re 2.74
Re3 0.6250 0.6250 0.1251  6 Re 2.74
Re4 0.6250 0.6250 0.6250  6 Re 2.74

(2)
A plane-wave DFT calculation with GGA-PBE was carried out for a relaxed Ce2SmRe crystal.

Output
- SG = R-3m
- energy (eV per atom) = -6.978
- E_form (eV/atom) = 0.281
- energy above the most stable polymorph in this dataset (eV per formula unit) = 0.52

Unit cell a=5.7452 b=5.7452 c=5.7452 alpha=48.70 beta=48.70 gamma=48.70
Last column: nearest neighbours and their distance in Å.
Atoms (fractional coordinates):
Ce1 0.2358 0.2358 0.2358  3 Re 2.93, 3 Sm 3.11
Ce2 0.7642 0.7642 0.7642  3 Re 2.93, 3 Sm 3.11
Sm1 0.0000 0.0000 0.0000  6 Ce 3.11
Re1 0.5000 0.5000 0.5000  6 Ce 2.93

(3)
A plane-wave DFT calculation with GGA-PBE was carried out for a relaxed Ce2SmRe9 crystal.

Output
- SG = R-3m
- energy (eV per atom) = -10.682
- E_form (eV/atom) = 0.036

Unit cell a=9.5981 b=9.5981 c=9.5981 alpha=32.30 beta=32.30 gamma=32.30
Last column: nearest neighbours and their distance in Å.
Atoms (fractional coordinates):
Ce1 0.1466 0.1466 0.1466  12 Re 3.13-3.23, 3 Ce 3.27
Ce2 0.8534 0.8534 0.8534  12 Re 3.13-3.23, 3 Ce 3.27
Sm1 0.0000 0.0000 0.0000  6 Re 3.08
Re1 0.0782 0.5844 0.5844  7 Re 2.64-2.78
Re2 0.3355 0.3355 0.3355  6 Re 2.68-2.76
Re3 0.4156 0.4156 0.9218  7 Re 2.64-2.78
Re4 0.4156 0.9218 0.4156  7 Re 2.64-2.78
Re5 0.5000 0.5000 0.5000  6 Re 2.78
Re6 0.5844 0.0782 0.5844  7 Re 2.64-2.78
Re7 0.5844 0.5844 0.0782  7 Re 2.64-2.78
Re8 0.6645 0.6645 0.6645  6 Re 2.68-2.76
Re9 0.9218 0.4156 0.4157  7 Re 2.64-2.78

(4)
A plane-wave DFT calculation with GGA-PBE was carried out for a relaxed Ce2ReSn crystal.

Output
- SG = P4/mmm
- energy (eV per atom) = -7.303
- E_form (eV/atom) = -0.224
- energy above the most stable polymorph in this dataset (eV per formula unit) = 0.00

Unit cell a=3.3518 b=3.3518 c=8.5989 alpha=90.00 beta=90.00 gamma=90.00
Last column: nearest neighbours and their distance in Å.
Atoms (fractional coordinates):
Ce1 0.0000 0.0000 0.2075  4 Re 2.97
Ce2 0.0000 0.0000 0.7925  4 Re 2.97
Re1 0.5000 0.5000 0.0000  8 Ce 2.97
Sn1 0.5000 0.5000 0.5000  4 Sn 3.35, 8 Ce 3.46

(5)
A plane-wave DFT calculation with GGA-PBE was carried out for a relaxed Ce2ReSn crystal.

Output
- SG = R-3m
- energy (eV per atom) = -6.793
- E_form (eV/atom) = 0.287
- energy above the most stable polymorph in this dataset (eV per formula unit) = 2.04

Unit cell a=11.2885 b=11.2885 c=11.2885 alpha=16.25 beta=16.25 gamma=16.25
Last column: nearest neighbours and their distance in Å.
Atoms (fractional coordinates):
Ce1 0.0992 0.0992 0.0992  3 Re 2.91, 6 Ce 3.19
Ce2 0.9008 0.9008 0.9008  3 Re 2.91, 6 Ce 3.19
Re1 0.5000 0.5000 0.5000  6 Ce 2.91, 6 Re 3.19
Sn1 0.0000 0.0000 0.0000  6 Sn 3.19, 2 Ce 3.32

(6)
A plane-wave DFT calculation with GGA-PBE was carried out for a relaxed CeTaRe crystal.

Output
- SG = Fmmm
- energy (eV per atom) = -9.681
- E_form (eV/atom) = 0.398

Unit cell a=6.5743 b=5.5510 c=5.2948 alpha=74.58 beta=54.49 gamma=50.93
Last column: nearest neighbours and their distance in Å.
Atoms (fractional coordinates):
Ce1 0.1558 0.8442 0.1558  1 Ce 2.80, 4 Ta 2.90
Ce2 0.8442 0.1558 0.8442  1 Ce 2.80, 4 Ta 2.90
Ta1 0.2500 0.2500 0.2500  2 Ta 2.80, 4 Re 2.88, 4 Ce 2.90
Ta2 0.7500 0.7500 0.7500  2 Ta 2.80, 4 Re 2.88, 4 Ce 2.90
Re1 0.3685 0.3685 0.6315  1 Re 2.52
Re2 0.6315 0.6315 0.3685  1 Re 2.52

(7)
A plane-wave DFT calculation with GGA-PBE was carried out for a relaxed TbCeRe4 crystal.

Output
- SG = F-43m
- energy (eV per atom) = -10.122
- E_form (eV/atom) = -0.062

Unit cell a=5.4595 b=5.4595 c=5.4595 alpha=60.00 beta=60.00 gamma=60.00
Last column: nearest neighbours and their distance in Å.
Atoms (fractional coordinates):
Tb1 0.0000 0.0000 0.0000  12 Re 3.20, 4 Ce 3.34
Ce1 0.7500 0.7500 0.7500  12 Re 3.20, 4 Tb 3.34
Re1 0.3749 0.3749 0.3749  6 Re 2.73
Re2 0.3749 0.3749 0.8753  6 Re 2.73
Re3 0.3749 0.8753 0.3749  6 Re 2.73
Re4 0.8753 0.3749 0.3749  6 Re 2.73

(8)
A plane-wave DFT calculation with GGA-PBE was carried out for a relaxed Tb2CeRe crystal.

Output
- SG = R-3m
- energy (eV per atom) = -6.534
- E_form (eV/atom) = 0.377

Unit cell a=10.5505 b=10.5505 c=10.5505 alpha=18.57 beta=18.57 gamma=18.57
Last column: nearest neighbours and their distance in Å.
Atoms (fractional coordinates):
Tb1 0.2341 0.2341 0.2341  3 Re 2.87
Tb2 0.7659 0.7659 0.7659  3 Re 2.87
Ce1 0.0000 0.0000 0.0000  6 Ce 3.40, 6 Tb 3.66
Re1 0.5000 0.5000 0.5000  6 Tb 2.87

(9)
A plane-wave DFT calculation with GGA-PBE was carried out for a relaxed Ce2ReTc crystal.

Output
- SG = P4/mmm
- energy (eV per atom) = -8.516
- E_form (eV/atom) = 0.155

Unit cell a=4.8883 b=4.8883 c=3.4700 alpha=90.00 beta=90.00 gamma=90.00
Last column: nearest neighbours and their distance in Å.
Atoms (fractional coordinates):
Ce1 0.0000 0.5000 0.0000  4 Tc 3.00, 4 Re 3.00
Ce2 0.5000 0.0000 0.0000  4 Tc 3.00, 4 Re 3.00
Re1 0.0000 0.0000 0.5000  8 Ce 3.00
Tc1 0.5000 0.5000 0.5000  8 Ce 3.00

(10)
A plane-wave DFT calculation with GGA-PBE was carried out for a relaxed Ce2ReTc crystal.

Output
- SG = R-3m
- energy (eV per atom) = -8.076
- E_form (eV/atom) = 0.594

Unit cell a=10.8644 b=10.8644 c=10.8644 alpha=15.29 beta=15.29 gamma=15.29
Last column: nearest neighbours and their distance in Å.
Atoms (fractional coordinates):
Ce1 0.0864 0.0864 0.0864  1 Re 2.78, 6 Ce 2.89, 3 Tc 3.08
Ce2 0.9136 0.9136 0.9136  1 Re 2.78, 6 Ce 2.89, 3 Tc 3.08
Re1 0.0000 0.0000 0.0000  2 Ce 2.78, 6 Re 2.89
Tc1 0.5000 0.5000 0.5000  6 Tc 2.89, 6 Ce 3.08

(11)
A plane-wave DFT calculation with GGA-PBE was carried out for a relaxed CeReTc crystal.

Output
- SG = P3m1
- energy (eV per atom) = -9.387
- E_form (eV/atom) = 0.196
- energy above the most stable polymorph in this dataset (eV per formula unit) = 0.88

Unit cell a=4.1239 b=4.1239 c=4.3700 alpha=90.00 beta=90.00 gamma=120.00
Last column: nearest neighbours and their distance in Å.
Atoms (fractional coordinates):
Ce1 0.0000 0.0000 0.0000  3 Re 3.04, 3 Tc 3.06
Re1 0.3333 0.6667 0.4333  3 Tc 2.44
Tc1 0.6667 0.3333 0.5597  3 Re 2.44

(12)
A plane-wave DFT calculation with GGA-PBE was carried out for a relaxed CeReTc2 crystal.

Output
- SG = Cmmm
- energy (eV per atom) = -9.328
- E_form (eV/atom) = 0.451

Unit cell a=4.5567 b=4.5567 c=4.0327 alpha=90.00 beta=90.00 gamma=107.62
Last column: nearest neighbours and their distance in Å.
Atoms (fractional coordinates):
Ce1 0.0000 0.0000 0.0000  2 Re 2.69
Re1 0.5000 0.5000 0.0000  4 Tc 2.47, 2 Ce 2.69
Tc1 0.3050 0.6950 0.5000  2 Re 2.47
Tc2 0.6950 0.3050 0.5000  2 Re 2.47